No. 1
Computed, not measured: Ba3AsS6 after structural relaxation at the PBE level of DFT.

Unit cell a=8.596 b=8.596 c=8.596 alpha=90.96 beta=90.96 gamma=90.96
Fractional positions:
Ba 0.063 0.566 0.750
Ba 0.250 0.937 0.434
Ba 0.434 0.250 0.937
Ba 0.566 0.750 0.063
Ba 0.750 0.063 0.566
Ba 0.937 0.434 0.250
As 0.000 0.000 0.000
As 0.500 0.500 0.500
S 0.047 0.932 0.733
S 0.068 0.267 0.953
S 0.237 0.563 0.425
S 0.267 0.953 0.068
S 0.425 0.237 0.563
S 0.437 0.575 0.763
S 0.563 0.425 0.237
S 0.575 0.763 0.437
S 0.733 0.047 0.932
S 0.763 0.437 0.575
S 0.932 0.733 0.047
S 0.953 0.068 0.267

Results
raw total energy = -4.522 eV/atom
DOS(E_F) = 1.185 states/eV per atom
spin magnetization = 0.01 μB per formula unit
formation energy (no corrections) = -1003.6 meV/atom

---

No. 2
Computed, not measured: La2MnPt after structural relaxation at the PBE level of DFT.

Unit cell a=5.019 b=5.019 c=5.019 alpha=60.00 beta=60.00 gamma=60.00
Fractional positions:
La 0.000 0.000 0.000
La 0.250 0.250 0.250
Mn 0.750 0.750 0.750
Pt 0.500 0.500 0.500

Results
raw total energy = -6.521 eV/atom
DOS(E_F) = 1.444 states/eV per atom
spin magnetization = 4.08 μB per formula unit

---

No. 3
Computed, not measured: UFe2GeB after structural relaxation at the PBE level of DFT.

Unit cell a=3.786 b=3.786 c=5.073 alpha=90.00 beta=90.00 gamma=90.00
Fractional positions:
U 0.000 0.000 0.000
Fe 0.000 0.500 0.611
Fe 0.500 0.000 0.611
Ge 0.500 0.500 0.310
B 0.000 0.000 0.504

Results
raw total energy = -7.865 eV/atom
DOS(E_F) = 1.350 states/eV per atom
spin magnetization = 0.93 μB per formula unit

---

No. 4
Computed, not measured: TbDyHo2Se6 after structural relaxation at the PBE level of DFT.

Unit cell a=7.696 b=7.696 c=7.696 alpha=55.75 beta=55.75 gamma=55.75
Fractional positions:
Tb 0.000 0.000 0.000
Dy 0.500 0.500 0.500
Ho 0.304 0.304 0.304
Ho 0.804 0.804 0.804
Se 0.095 0.405 0.703
Se 0.205 0.904 0.594
Se 0.405 0.703 0.095
Se 0.594 0.205 0.904
Se 0.703 0.095 0.405
Se 0.904 0.594 0.205

Results
raw total energy = -5.782 eV/atom
DOS(E_F) = 0.000 states/eV per atom
spin magnetization = 0.00 μB per formula unit
formation energy (no corrections) = -1852.0 meV/atom

---

No. 5
Computed, not measured: Ti2Zn2Ge after structural relaxation at the PBE level of DFT.

Unit cell a=6.619 b=6.619 c=3.969 alpha=90.00 beta=90.00 gamma=90.00
Fractional positions:
Ti 0.149 0.351 0.000
Ti 0.351 0.851 0.000
Ti 0.649 0.149 0.000
Ti 0.851 0.649 0.000
Zn 0.149 0.649 0.500
Zn 0.351 0.149 0.500
Zn 0.649 0.851 0.500
Zn 0.851 0.351 0.500
Ge 0.000 0.000 0.000
Ge 0.500 0.500 0.000

Results
raw total energy = -4.651 eV/atom
DOS(E_F) = 1.149 states/eV per atom
spin magnetization = 1.24 μB per formula unit
excess energy over the best structure of this formula in the dataset = 70 meV/atom

---

No. 6
Computed, not measured: MnPRu2 after structural relaxation at the PBE level of DFT.

Unit cell a=2.740 b=2.740 c=7.999 alpha=90.00 beta=90.00 gamma=116.49
Fractional positions:
Mn 0.000 0.000 0.000
P 0.500 0.500 0.221
Ru 0.000 0.000 0.446
Ru 0.500 0.500 0.739

Results
raw total energy = -8.058 eV/atom
DOS(E_F) = 0.958 states/eV per atom
spin magnetization = 2.77 μB per formula unit
excess energy over the best structure of this formula in the dataset = 451 meV/atom

---

No. 7
Computed, not measured: Sc2CrIr after structural relaxation at the PBE level of DFT.

Unit cell a=3.014 b=4.301 c=5.531 alpha=90.00 beta=90.00 gamma=90.00
Fractional positions:
Sc 0.000 0.000 0.000
Sc 0.500 0.500 0.324
Cr 0.000 0.000 0.530
Ir 0.500 0.500 0.813

Results
raw total energy = -7.909 eV/atom
DOS(E_F) = 0.739 states/eV per atom
spin magnetization = 3.13 μB per formula unit

---

No. 8
Computed, not measured: MnCu7Ge2Au2 after structural relaxation at the PBE level of DFT.

Unit cell a=3.555 b=3.555 c=14.434 alpha=96.87 beta=96.87 gamma=90.04
Fractional positions:
Mn 0.000 0.000 0.000
Cu 0.070 0.569 0.134
Cu 0.266 0.266 0.536
Cu 0.431 0.930 0.866
Cu 0.500 0.500 0.000
Cu 0.569 0.070 0.134
Cu 0.734 0.734 0.464
Cu 0.930 0.431 0.866
Ge 0.185 0.185 0.364
Ge 0.815 0.815 0.636
Au 0.359 0.359 0.723
Au 0.641 0.641 0.277

Results
raw total energy = -4.337 eV/atom
DOS(E_F) = 0.537 states/eV per atom
spin magnetization = 4.24 μB per formula unit

---

No. 9
Computed, not measured: SmScBeGa after structural relaxation at the PBE level of DFT.

Unit cell a=4.851 b=4.851 c=4.851 alpha=60.00 beta=60.00 gamma=60.00
Fractional positions:
Sm 0.000 0.000 0.000
Sc 0.500 0.500 0.500
Be 0.750 0.750 0.750
Ga 0.250 0.250 0.250

Results
raw total energy = -4.685 eV/atom
DOS(E_F) = 0.842 states/eV per atom
spin magnetization = 0.00 μB per formula unit

---

No. 10
Computed, not measured: In2Hg5Pb after structural relaxation at the PBE level of DFT.

Unit cell a=8.620 b=8.620 c=8.620 alpha=122.48 beta=122.48 gamma=85.76
Fractional positions:
In 0.151 0.651 0.801
In 0.349 0.151 0.500
In 0.651 0.849 0.500
In 0.849 0.349 0.199
Hg 0.000 0.000 0.000
Hg 0.018 0.812 0.500
Hg 0.188 0.688 0.206
Hg 0.312 0.518 0.500
Hg 0.482 0.982 0.794
Hg 0.500 0.500 0.000
Hg 0.518 0.018 0.206
Hg 0.688 0.482 0.500
Hg 0.812 0.312 0.794
Hg 0.982 0.188 0.500
Pb 0.250 0.250 0.000
Pb 0.750 0.750 0.000

Results
raw total energy = -1.316 eV/atom
DOS(E_F) = 0.306 states/eV per atom
spin magnetization = 0.00 μB per formula unit

---

No. 11
Computed, not measured: LaPO4 after structural relaxation at the PBE level of DFT.

Unit cell a=6.542 b=7.146 c=8.332 alpha=90.00 beta=125.99 gamma=90.00
Fractional positions:
La 0.186 0.159 0.285
La 0.186 0.341 0.785
La 0.814 0.659 0.215
La 0.814 0.841 0.715
P 0.307 0.662 0.196
P 0.307 0.838 0.696
P 0.693 0.162 0.304
P 0.693 0.338 0.804
O 0.117 0.671 0.619
O 0.117 0.829 0.119
O 0.192 0.506 0.250
O 0.192 0.994 0.750
O 0.333 0.603 0.029
O 0.333 0.897 0.529
O 0.420 0.213 0.129
O 0.420 0.287 0.629
O 0.580 0.713 0.371
O 0.580 0.787 0.871
O 0.667 0.103 0.471
O 0.667 0.397 0.971
O 0.808 0.006 0.250
O 0.808 0.494 0.750
O 0.883 0.171 0.881
O 0.883 0.329 0.381

Results
raw total energy = -8.066 eV/atom
DOS(E_F) = 0.000 states/eV per atom
spin magnetization = 0.00 μB per formula unit
formation energy (no corrections) = -3037.9 meV/atom

---

No. 12
Computed, not measured: PaCdGaO5 after structural relaxation at the PBE level of DFT.

Unit cell a=5.862 b=5.862 c=8.002 alpha=102.83 beta=102.83 gamma=109.23
Fractional positions:
Pa 0.000 0.000 0.000
Pa 0.000 0.000 0.500
Cd 0.342 0.658 0.750
Cd 0.658 0.342 0.250
Ga 0.315 0.685 0.250
Ga 0.685 0.315 0.750
O 0.055 0.667 0.351
O 0.097 0.903 0.750
O 0.268 0.390 0.077
O 0.333 0.945 0.149
O 0.390 0.268 0.577
O 0.610 0.732 0.423
O 0.667 0.055 0.851
O 0.732 0.610 0.923
O 0.903 0.097 0.250
O 0.945 0.333 0.649

Results
raw total energy = -7.136 eV/atom
DOS(E_F) = 0.000 states/eV per atom
spin magnetization = 0.00 μB per formula unit
formation energy (no corrections) = -2357.3 meV/atom

---

No. 13
Computed, not measured: Th3FeTe after structural relaxation at the PBE level of DFT.

Unit cell a=8.834 b=4.157 c=14.999 alpha=90.00 beta=90.00 gamma=90.00
Fractional positions:
Th 0.022 0.250 0.104
Th 0.163 0.250 0.500
Th 0.193 0.750 0.281
Th 0.307 0.250 0.781
Th 0.337 0.750 0.000
Th 0.478 0.750 0.604
Th 0.522 0.250 0.396
Th 0.663 0.250 0.000
Th 0.693 0.750 0.219
Th 0.807 0.250 0.719
Th 0.837 0.750 0.500
Th 0.978 0.750 0.896
Fe 0.176 0.250 0.934
Fe 0.324 0.750 0.434
Fe 0.676 0.250 0.566
Fe 0.824 0.750 0.066
Te 0.089 0.750 0.673
Te 0.411 0.250 0.173
Te 0.589 0.750 0.827
Te 0.911 0.250 0.327

Results
raw total energy = -7.281 eV/atom
DOS(E_F) = 0.851 states/eV per atom
spin magnetization = 0.00 μB per formula unit
excess energy over the best structure of this formula in the dataset = 0 meV/atom
formation energy (no corrections) = -508.2 meV/atom

---

No. 14
Computed, not measured: BiSbPb after structural relaxation at the PBE level of DFT.

Unit cell a=5.716 b=5.716 c=3.291 alpha=90.00 beta=90.00 gamma=120.00
Fractional positions:
Bi 0.000 0.000 0.000
Sb 0.333 0.667 0.003
Pb 0.667 0.333 0.500

Results
raw total energy = -3.802 eV/atom
DOS(E_F) = 0.916 states/eV per atom
spin magnetization = 0.00 μB per formula unit
excess energy over the best structure of this formula in the dataset = 55 meV/atom
formation energy (no corrections) = 101.5 meV/atom

---

No. 15
Computed, not measured: Ru4Br after structural relaxation at the PBE level of DFT.

Unit cell a=4.810 b=4.810 c=4.810 alpha=109.47 beta=109.47 gamma=109.47
Fractional positions:
Ru 0.000 0.000 0.500
Ru 0.000 0.500 0.000
Ru 0.500 0.000 0.000
Ru 0.500 0.500 0.500
Br 0.000 0.000 0.000

Results
raw total energy = -6.194 eV/atom
DOS(E_F) = 1.330 states/eV per atom
spin magnetization = 0.00 μB per formula unit
excess energy over the best structure of this formula in the dataset = 783 meV/atom
formation energy (no corrections) = 1561.2 meV/atom

---

No. 16
Computed, not measured: SmAl9Fe2 after structural relaxation at the PBE level of DFT.

Unit cell a=8.236 b=8.236 c=8.236 alpha=99.76 beta=99.76 gamma=131.37
Fractional positions:
Sm 0.375 0.625 0.750
Sm 0.625 0.375 0.250
Al 0.125 0.875 0.250
Al 0.141 0.570 0.326
Al 0.141 0.815 0.571
Al 0.185 0.256 0.326
Al 0.185 0.859 0.929
Al 0.256 0.185 0.826
Al 0.256 0.430 0.071
Al 0.430 0.256 0.571
Al 0.430 0.859 0.174
Al 0.570 0.141 0.826
Al 0.570 0.744 0.429
Al 0.744 0.570 0.929
Al 0.744 0.815 0.174
Al 0.815 0.141 0.071
Al 0.815 0.744 0.674
Al 0.859 0.185 0.429
Al 0.859 0.430 0.674
Al 0.875 0.125 0.750
Fe 0.000 0.000 0.000
Fe 0.000 0.000 0.500
Fe 0.000 0.500 0.000
Fe 0.500 0.000 0.500

Results
raw total energy = -4.931 eV/atom
DOS(E_F) = 0.570 states/eV per atom
spin magnetization = 0.00 μB per formula unit

---

No. 17
Computed, not measured: Sn2PBr after structural relaxation at the PBE level of DFT.

Unit cell a=6.734 b=6.734 c=6.734 alpha=109.47 beta=109.47 gamma=109.48
Fractional positions:
Sn 0.075 0.625 0.950
Sn 0.375 0.325 0.450
Sn 0.675 0.125 0.050
Sn 0.875 0.925 0.550
P 0.000 0.000 0.000
P 0.750 0.250 0.500
Br 0.250 0.750 0.500
Br 0.500 0.500 0.000

Results
raw total energy = -3.798 eV/atom
DOS(E_F) = 0.239 states/eV per atom
spin magnetization = 0.00 μB per formula unit
excess energy over the best structure of this formula in the dataset = 219 meV/atom
formation energy (no corrections) = -25.5 meV/atom

---

No. 18
Computed, not measured: TcSbTeSe2 after structural relaxation at the PBE level of DFT.

Unit cell a=5.390 b=5.390 c=5.050 alpha=90.00 beta=90.00 gamma=90.00
Fractional positions:
Tc 0.000 0.000 0.000
Sb 0.500 0.500 0.000
Te 0.000 0.000 0.500
Se 0.000 0.500 0.500
Se 0.500 0.000 0.500

Results
raw total energy = -3.823 eV/atom
DOS(E_F) = 0.923 states/eV per atom
spin magnetization = 2.29 μB per formula unit
formation energy (no corrections) = 1096.5 meV/atom

---

No. 19
Computed, not measured: Pm3AlCo3 after structural relaxation at the PBE level of DFT.

Unit cell a=5.543 b=5.543 c=13.295 alpha=90.00 beta=90.00 gamma=136.62
Fractional positions:
Pm 0.002 0.998 0.750
Pm 0.289 0.711 0.605
Pm 0.289 0.711 0.895
Pm 0.711 0.289 0.105
Pm 0.711 0.289 0.395
Pm 0.998 0.002 0.250
Al 0.000 0.000 0.000
Al 0.000 0.000 0.500
Co 0.306 0.694 0.250
Co 0.422 0.578 0.092
Co 0.422 0.578 0.408
Co 0.578 0.422 0.592
Co 0.578 0.422 0.908
Co 0.694 0.306 0.750

Results
raw total energy = -5.849 eV/atom
DOS(E_F) = 1.149 states/eV per atom
spin magnetization = 0.00 μB per formula unit

---

No. 20
Computed, not measured: VRe2Tc after structural relaxation at the PBE level of DFT.

Unit cell a=3.870 b=3.870 c=3.906 alpha=90.00 beta=90.00 gamma=90.00
Fractional positions:
V 0.000 0.000 0.000
Re 0.000 0.500 0.500
Re 0.500 0.000 0.500
Tc 0.500 0.500 0.000

Results
raw total energy = -11.038 eV/atom
DOS(E_F) = 1.444 states/eV per atom
spin magnetization = 0.00 μB per formula unit
excess energy over the best structure of this formula in the dataset = 136 meV/atom

---

No. 21
Computed, not measured: Ba3Li2Pd4 after structural relaxation at the PBE level of DFT.

Unit cell a=6.257 b=6.257 c=9.205 alpha=107.05 beta=107.05 gamma=43.55
Fractional positions:
Ba 0.000 0.000 0.000
Ba 0.370 0.370 0.299
Ba 0.630 0.630 0.701
Li 0.316 0.316 0.645
Li 0.684 0.684 0.355
Pd 0.090 0.090 0.424
Pd 0.282 0.282 0.931
Pd 0.718 0.718 0.069
Pd 0.910 0.910 0.576

Results
raw total energy = -3.800 eV/atom
DOS(E_F) = 0.298 states/eV per atom
spin magnetization = 0.00 μB per formula unit
excess energy over the best structure of this formula in the dataset = 27 meV/atom

---

No. 22
Computed, not measured: CrRu2Se after structural relaxation at the PBE level of DFT.

Unit cell a=4.528 b=4.528 c=4.528 alpha=127.71 beta=127.71 gamma=77.10
Fractional positions:
Cr 0.000 0.000 0.000
Ru 0.250 0.750 0.500
Ru 0.750 0.250 0.500
Se 0.500 0.500 0.000

Results
raw total energy = -7.656 eV/atom
DOS(E_F) = 0.690 states/eV per atom
spin magnetization = 2.11 μB per formula unit
formation energy (no corrections) = 258.8 meV/atom

---

no.,density (g/cm³)
1,3.6
2,9.8
3,9.9
4,6.4
5,5.7
6,8.9
7,7.7
8,9.6
9,5.6
10,11.0
11,4.9
12,6.8
13,10.6
14,9.6
15,9.4
16,4.4
17,4.9
18,5.7
19,7.6
20,14.8
21,6.0
22,9.8